Below is an optimized crystal structure of Al2Ag2Ge, with properties calculated at the PBE level.

The structure in extended XYZ format:
```
10
Lattice="8.0677 0.0000 0.0000 0.0000 8.0677 0.0000 0.0000 0.0000 2.8062" Properties=species:S:1:pos:R:3 pbc="T T T"
Al 1.0040 3.0299 0.0000
Al 3.0299 7.0637 0.0000
Al 5.0378 1.0040 0.0000
Al 7.0637 5.0378 0.0000
Ag 1.4002 5.4340 1.4031
Ag 2.6336 1.4002 1.4031
Ag 5.4340 6.6675 1.4031
Ag 6.6675 2.6336 1.4031
Ge 0.0000 0.0000 0.0000
Ge 4.0338 4.0338 0.0000
```

**Size of the total moment**: 0.00 μB/cell
**DOS at the Fermi energy**: 1.19 states/eV/f.u.
**Relative energy among the computed polymorphs**: 0 meV/atom
**Raw total energy**: -34.6 eV for the cell shown
**Calculated formation energy**: 0.10 eV/atom
**Crystal system**: tetragonal